SrAlO3: optimized geometry, PBE.

Results
DFT total energy (eV/atom): -6.388
D(E_F) (states/eV/f.u.): 0.0

The structure in POSCAR format:
```
SrAlO3
1.0
17.328 0.000 -1.690
6.656 1.525 -3.410
-6.656 1.525 3.410
Sr Al O
2 2 6
Direct
0.820 0.025 0.975
0.180 0.975 0.025
0.731 0.871 0.129
0.269 0.129 0.871
0.879 0.137 0.863
0.121 0.863 0.137
0.100 0.219 0.781
0.900 0.781 0.219
0.562 0.555 0.445
0.438 0.445 0.555
```